# 1
A plane-wave DFT calculation with GGA-PBE was carried out for crystalline Li5In8Hg at its relaxed geometry.

- total DFT energy (no corrections) (eV for the cell shown) = -33.8
- ΔH_f (0 K) (eV/f.u.) = -2.06
- N(E_F) (states/eV/atom) = 0.28
- SG = I-4

```
Li5In8Hg
1.0
7.445 -0.166 0.286
-2.675 6.950 -0.286
-2.094 -3.596 6.182
Li In Hg
5 8 1
Cartesian
2.697 1.961 4.456
-0.119 -2.863 5.969
-0.835 1.799 0.742
2.675 -1.881 3.234
3.608 5.478 1.197
-1.084 4.784 0.351
0.099 3.362 5.203
1.036 0.318 2.541
5.300 -2.089 4.270
1.872 -0.608 5.712
1.681 3.178 1.531
-2.348 3.371 2.830
4.145 0.434 2.291
-1.047 0.736 4.565
```



# 2
A plane-wave DFT calculation with GGA-PBE was carried out for crystalline LiIn2Hg2 at its relaxed geometry.

- total DFT energy (no corrections) (eV for the cell shown) = -16.8
- ΔH_f (0 K) (eV/f.u.) = -0.42
- N(E_F) (states/eV/atom) = 0.39
- SG = Ibam

```
LiIn2Hg2
1.0
-4.690 -2.002 3.533
4.010 -3.754 3.197
1.443 7.565 0.755
Hg Li In
4 2 4
Cartesian
-1.093 -0.755 3.568
-2.542 3.485 4.046
3.305 -1.676 3.438
1.856 2.564 3.917
-1.512 -3.378 4.248
0.833 -2.377 2.482
1.209 0.474 1.873
-0.446 1.335 5.611
1.076 -2.597 5.403
-0.313 4.406 2.081
```



# 3
A plane-wave DFT calculation with GGA-PBE was carried out for crystalline LiIn7Hg4 at its relaxed geometry.

- total DFT energy (no corrections) (eV for the cell shown) = -22.5
- ΔH_f (0 K) (eV/f.u.) = -0.21
- N(E_F) (states/eV/atom) = 0.41
- SG = P-1

```
LiIn7Hg4
1.0
5.239 -0.958 3.069
1.768 5.763 1.822
3.281 -2.839 11.503
In Hg Li
7 4 1
Cartesian
5.534 -0.230 13.005
4.753 2.196 3.389
2.619 -0.479 1.534
4.668 2.011 9.570
6.813 2.872 7.445
3.475 -0.907 8.949
5.620 -0.045 6.824
3.711 2.613 6.282
3.164 -0.277 4.708
6.577 -0.647 10.111
7.124 2.243 11.686
0.000 0.000 0.000
```



# 4
A plane-wave DFT calculation with GGA-PBE was carried out for crystalline Li2In2Hg at its relaxed geometry.

- total DFT energy (no corrections) (eV for the cell shown) = -10.0
- ΔH_f (0 K) (eV/f.u.) = -0.39
- N(E_F) (states/eV/atom) = 0.25
- SG = I4/mmm

```
Li2In2Hg
1.0
3.987 0.000 0.000
0.000 3.987 0.000
1.994 1.994 7.160
Li In Hg
2 2 1
Cartesian
1.994 3.987 3.580
3.987 1.994 3.580
3.987 3.987 5.697
1.994 1.994 1.463
0.000 0.000 0.000
```



# 5
A plane-wave DFT calculation with GGA-PBE was carried out for crystalline Li6InHg2 at its relaxed geometry.

- total DFT energy (no corrections) (eV for the cell shown) = -17.3
- ΔH_f (0 K) (eV/f.u.) = -2.44
- N(E_F) (states/eV/atom) = 0.10
- SG = C2/m

```
Li6InHg2
1.0
2.896 -0.240 -0.192
0.732 7.839 1.185
0.732 2.858 7.396
Li Hg In
6 2 1
Cartesian
2.417 8.676 3.563
2.417 5.361 7.696
1.944 1.781 4.825
2.179 6.053 3.166
2.179 4.404 5.222
1.944 5.096 0.692
3.871 6.892 5.528
0.489 3.566 2.860
0.000 0.000 0.000
```



# 6
A plane-wave DFT calculation with GGA-PBE was carried out for crystalline LiIn4Hg3 at its relaxed geometry.

- total DFT energy (no corrections) (eV for the cell shown) = -14.2
- ΔH_f (0 K) (eV/f.u.) = -0.39
- N(E_F) (states/eV/atom) = 0.38
- SG = C2/m

```
LiIn4Hg3
1.0
-0.980 0.795 -2.983
4.543 0.370 -1.393
-1.972 -13.478 -1.184
Li In Hg
1 4 3
Cartesian
-0.490 0.397 -1.491
-0.580 -5.168 -2.944
-0.067 -2.333 -0.599
2.171 -7.145 -2.616
1.658 -9.981 -4.961
2.200 -3.873 -1.754
-0.609 -8.440 -3.806
2.271 0.185 -0.697
```